ZrAlPdAu (PBE-GGA, optimized geometry); space-group type = P-3m1 (164); calculated total energy = -5.884 eV/atom
1.0
-1.306 -2.971 -2.968
3.907 -0.433 1.972
-3.695 -4.666 6.297
Al Au Pd Zr
2 2 2 2
Direct
0.000 0.000 0.000
0.000 0.000 0.500
0.667 0.333 0.092
0.333 0.667 0.908
0.667 0.333 0.418
0.333 0.667 0.582
0.333 0.667 0.259
0.667 0.333 0.741